1.
## Tl3Cl (PBEsol)

Data for crystalline Tl3Cl at its relaxed geometry.

Unit cell a=4.1873 b=4.0661 c=6.5203 alpha=90.00 beta=90.00 gamma=90.00
Fractional positions:
Tl1 0.5000 0.5000 0.7612
Tl2 0.0000 0.0000 0.5000
Tl3 0.5000 0.5000 0.2388
Cl1 0.0000 0.0000 0.0000

Output
Relative energy among the computed polymorphs   31 meV/atom
Space-group type   Pmmm, No. 47
Fermi-level density of states   1.275 states/eV per cell
Formation energy (no corrections)   -0.31 eV per atom

***

2.
## ZrRh2Se (PBEsol)

Data for crystalline ZrRh2Se at its relaxed geometry.

Unit cell a=3.2901 b=4.2429 c=4.4949 alpha=90.00 beta=90.00 gamma=90.00
Fractional positions:
Rh1 0.0000 0.0000 0.0000
Rh2 0.5000 0.0000 0.5000
Se1 0.5000 0.5000 0.0000
Zr1 0.0000 0.5000 0.5000

Output
Space-group type   Pmmm, No. 47
Fermi-level density of states   2.000 states/eV per cell
Formation energy (no corrections)   -0.54 eV per atom

***

3.
## PtRh2Cl (PBEsol)

Data for crystalline PtRh2Cl at its relaxed geometry.

Unit cell a=4.3578 b=4.3578 c=4.3578 alpha=60.00 beta=60.00 gamma=60.00
Fractional positions:
Rh1 0.0000 0.0000 0.0000
Rh2 0.7500 0.7500 0.7500
Pt1 0.2500 0.2500 0.2500
Cl1 0.5000 0.5000 0.5000

Output
Relative energy among the computed polymorphs   367 meV/atom
Space-group type   F-43m, No. 216
Fermi-level density of states   5.206 states/eV per cell
Formation energy (no corrections)   0.69 eV per atom

***

4.
## AsRhSe2 (PBEsol)

Data for crystalline AsRhSe2 at its relaxed geometry.

Unit cell a=4.5106 b=4.5106 c=4.5106 alpha=109.26 beta=109.26 gamma=109.90
Fractional positions:
As1 0.0000 0.0000 0.0000
Rh1 0.5000 0.5000 0.0000
Se1 0.0000 0.5000 0.5000
Se2 0.5000 0.0000 0.5000

Output
Space-group type   I4/mmm, No. 139
Fermi-level density of states   2.118 states/eV per cell
Formation energy (no corrections)   -0.07 eV per atom

***

5.
## MnP2O7 (PBEsol)

Data for crystalline MnP2O7 at its relaxed geometry.

Unit cell a=7.8943 b=7.8943 c=7.8943 alpha=90.00 beta=90.00 gamma=90.00
Fractional positions:
Mn1 0.0000 0.0000 0.0000
Mn2 0.0000 0.5000 0.5000
Mn3 0.5000 0.0000 0.5000
Mn4 0.5000 0.5000 0.0000
P1 0.1166 0.8834 0.3834
P2 0.1166 0.6166 0.8834
P3 0.3834 0.1166 0.8834
P4 0.3834 0.3834 0.3834
P5 0.6166 0.6166 0.6166
P6 0.6166 0.8834 0.1166
P7 0.8834 0.1166 0.6166
P8 0.8834 0.3834 0.1166
O1 0.0000 0.0000 0.5000
O2 0.0000 0.5000 0.0000
O3 0.0577 0.7012 0.3935
O4 0.0577 0.7988 0.8935
O5 0.1065 0.9423 0.2012
O6 0.1065 0.5577 0.7012
O7 0.2012 0.1065 0.9423
O8 0.2012 0.3935 0.4423
O9 0.2988 0.6065 0.9423
O10 0.2988 0.8935 0.4423
O11 0.3935 0.0577 0.7012
O12 0.3935 0.4423 0.2012
O13 0.4423 0.2988 0.8935
O14 0.4423 0.2012 0.3935
O15 0.5000 0.5000 0.5000
O16 0.5000 0.0000 0.0000
O17 0.5577 0.7012 0.1065
O18 0.5577 0.7988 0.6065
O19 0.6065 0.5577 0.7988
O20 0.6065 0.9423 0.2988
O21 0.7012 0.1065 0.5577
O22 0.7012 0.3935 0.0577
O23 0.7988 0.6065 0.5577
O24 0.7988 0.8935 0.0577
O25 0.8935 0.0577 0.7988
O26 0.8935 0.4423 0.2988
O27 0.9423 0.2012 0.1065
O28 0.9423 0.2988 0.6065

Output
Relative energy among the computed polymorphs   51 meV/atom
Space-group type   Pa-3, No. 205
Formation energy (no corrections)   -1.94 eV per atom

***

6.
## Li2CaPb (PBEsol)

Data for crystalline Li2CaPb at its relaxed geometry.

Unit cell a=3.5417 b=3.5417 c=10.2641 alpha=80.07 beta=80.07 gamma=60.00
Fractional positions:
Ca1 0.0000 0.0000 0.0000
Li1 0.2389 0.2389 0.2834
Li2 0.7611 0.7611 0.7166
Pb1 0.5000 0.5000 0.5000

Output
Space-group type   R-3m, No. 166
Fermi-level density of states   2.198 states/eV per cell
Energy of formation from the pure elements   -0.040 eV per atom

***

no.,total DFT energy (no corrections) (eV per atom)
1,-2.789
2,-7.846
3,-5.619
4,-5.302
5,-7.750
6,-2.557